# ZnCu2Ir (SCAN, single point on PBEsol structure)
data_ZnCu2Ir
_chemical_formula_sum 'Zn2 Cu4 Ir2'
_cell_length_a 2.8566
_cell_length_b 4.1827
_cell_length_c 8.3956
_cell_angle_alpha 90.00
_cell_angle_beta 90.00
_cell_angle_gamma 90.00
_space_group_name_H-M_alt 'I m m m'
_space_group_IT_number 71
_space_group_name_Hall '-I 2 2'
loop_
_atom_site_label
_atom_site_type_symbol
_atom_site_fract_x
_atom_site_fract_y
_atom_site_fract_z
_atom_site_occupancy
Zn1 Zn 0.0000 0.0000 0.0000 1
Cu1 Cu 0.0000 0.5000 0.2569 1
Ir1 Ir 0.0000 0.0000 0.5000 1
# Final energy ... -28.768 eV/atom
# Total moment ... 0.555 Bohr magnetons per cell
# Formation energy from the elements ... -0.015 eV per atom